K2AgAuO4 | GGA-PBE | relaxed

- Final energy: -4.242 eV per atom
- SG: No. 38
- Crystal system: orthorhombic

Unit cell a=6.023 b=6.387 c=6.387 alpha=37.44 beta=90.00 gamma=90.00
Fractional positions:
Ag: 0.000 0.503 0.503
Au: 0.500 0.497 0.497
K: 0.500 0.209 0.209
K: 0.000 0.790 0.790
O: 0.243 0.388 0.388
O: 0.757 0.388 0.388
O: 0.255 0.612 0.612
O: 0.745 0.612 0.612

=====

K2AgAuS2 | GGA-PBE | relaxed

- Excess energy over the best structure of this formula in the dataset: 73 meV per atom
- SG: No. 187
- Crystal system: hexagonal

Unit cell a=4.353 b=4.353 c=9.417 alpha=90.00 beta=90.00 gamma=120.00
Fractional positions:
Ag: 0.000 0.000 0.500
Au: 0.333 0.667 0.000
K: 0.667 0.333 0.251
K: 0.667 0.333 0.749
S: 0.000 0.000 0.000
S: 0.333 0.667 0.500

=====

K2AgAuS2 | GGA-PBE | relaxed

- Excess energy over the best structure of this formula in the dataset: 0 meV per atom
- SG: No. 12
- Crystal system: monoclinic

Unit cell a=5.160 b=5.160 c=6.526 alpha=91.12 beta=91.12 gamma=77.00
Fractional positions:
Ag: 0.000 0.000 0.500
Au: 0.000 0.000 0.000
K: 0.628 0.628 0.242
K: 0.372 0.372 0.758
S: 0.211 0.211 0.252
S: 0.789 0.789 0.748

=====

KAgSbAu | GGA-PBE | relaxed

- Excess energy over the best structure of this formula in the dataset: 141 meV per atom
- SG: No. 216
- Crystal system: cubic

Unit cell a=5.159 b=5.159 c=5.159 alpha=60.00 beta=60.00 gamma=60.00
Fractional positions:
Ag: 0.000 0.000 0.000
Au: 0.750 0.750 0.750
K: 0.500 0.500 0.500
Sb: 0.250 0.250 0.250

=====

KAgSbAu | GGA-PBE | relaxed

- Excess energy over the best structure of this formula in the dataset: 89 meV per atom
- SG: No. 216
- Crystal system: cubic

Unit cell a=5.125 b=5.125 c=5.125 alpha=60.00 beta=60.00 gamma=60.00
Fractional positions:
Ag: 0.500 0.500 0.500
Au: 0.750 0.750 0.750
K: 0.250 0.250 0.250
Sb: 0.000 0.000 0.000

=====

KAgSbAu | GGA-PBE | relaxed

- Excess energy over the best structure of this formula in the dataset: 0 meV per atom
- SG: No. 216
- Crystal system: cubic

Unit cell a=5.152 b=5.152 c=5.152 alpha=60.00 beta=60.00 gamma=60.00
Fractional positions:
Ag: 0.250 0.250 0.250
Au: 0.750 0.750 0.750
K: 0.500 0.500 0.500
Sb: 0.000 0.000 0.000

=====

KTaAgAu | GGA-PBE | relaxed

- Excess energy over the best structure of this formula in the dataset: 35 meV per atom
- Total magnetic moment: 0.0000 μB per atom
- SG: No. 216
- Crystal system: cubic

Unit cell a=4.819 b=4.819 c=4.819 alpha=60.00 beta=60.00 gamma=60.00
Fractional positions:
Ag: 0.000 0.000 0.000
Au: 0.750 0.750 0.750
K: 0.250 0.250 0.250
Ta: 0.500 0.500 0.500

=====

KTaAgAu | GGA-PBE | relaxed

- Excess energy over the best structure of this formula in the dataset: 225 meV per atom
- Total magnetic moment: 0.0008 μB per atom
- SG: No. 216
- Crystal system: cubic

Unit cell a=4.848 b=4.848 c=4.848 alpha=60.00 beta=60.00 gamma=60.00
Fractional positions:
Ag: 0.500 0.500 0.500
Au: 0.750 0.750 0.750
K: 0.000 0.000 0.000
Ta: 0.250 0.250 0.250

=====

KTaAgAu | GGA-PBE | relaxed

- Excess energy over the best structure of this formula in the dataset: 0 meV per atom
- Total magnetic moment: 0.0153 μB per atom
- SG: No. 216
- Crystal system: cubic

Unit cell a=4.963 b=4.963 c=4.963 alpha=60.00 beta=60.00 gamma=60.00
Fractional positions:
Ag: 0.250 0.250 0.250
Au: 0.750 0.750 0.750
K: 0.000 0.000 0.000
Ta: 0.500 0.500 0.500

=====

La4AgAu3 | GGA-PBE | relaxed

- Total magnetic moment: 0.0024 μB per atom
- SG: No. 6
- DFT formation energy: -5.577 eV/f.u.
- Crystal system: monoclinic

Unit cell a=6.011 b=4.910 c=7.605 alpha=90.00 beta=90.02 gamma=90.00
Fractional positions:
Ag: 0.858 0.000 0.038
Au: 0.352 0.500 0.456
Au: 0.654 0.000 0.543
Au: 0.137 0.500 0.960
La: 0.359 0.000 0.187
La: 0.860 0.500 0.322
La: 0.146 0.000 0.681
La: 0.634 0.500 0.812

=====

LaAgAu2 | GGA-PBE | relaxed

- Excess energy over the best structure of this formula in the dataset: 90 meV per atom
- Total magnetic moment: 0.0003 μB per atom
- SG: No. 123
- DFT formation energy: -2.059 eV/f.u.
- Crystal system: tetragonal

Unit cell a=3.653 b=3.653 c=6.703 alpha=90.00 beta=90.00 gamma=90.00
Fractional positions:
Ag: 0.000 0.000 0.000
Au: 0.500 0.500 0.219
Au: 0.500 0.500 0.781
La: 0.000 0.000 0.500

=====

La2AgAu3 | GGA-PBE | relaxed

- Total magnetic moment: 0.0013 μB per atom
- SG: No. 69
- DFT formation energy: -4.222 eV/f.u.
- Crystal system: orthorhombic

Unit cell a=9.652 b=9.152 c=6.026 alpha=75.88 beta=66.86 gamma=37.26
Fractional positions:
Ag: 0.667 0.667 0.333
Ag: 0.333 0.333 0.667
Au: 0.335 0.831 0.169
Au: 0.831 0.831 0.169
Au: 0.169 0.665 0.335
Au: 0.831 0.335 0.665
Au: 0.169 0.169 0.831
Au: 0.665 0.169 0.831
La: 0.752 0.248 0.248
La: 0.250 0.250 0.250
La: 0.750 0.750 0.750
La: 0.248 0.752 0.752

=====

Repeat the eighth record exactly.
KTaAgAu | GGA-PBE | relaxed

- Excess energy over the best structure of this formula in the dataset: 225 meV per atom
- Total magnetic moment: 0.0008 μB per atom
- SG: No. 216
- Crystal system: cubic

Unit cell a=4.848 b=4.848 c=4.848 alpha=60.00 beta=60.00 gamma=60.00
Fractional positions:
Ag: 0.500 0.500 0.500
Au: 0.750 0.750 0.750
K: 0.000 0.000 0.000
Ta: 0.250 0.250 0.250